Crystalline AlCdSb at its relaxed geometry, computed with PBE.

extended XYZ file:
```
6
Lattice="4.897 0.000 0.000 0.000 4.220 0.000 -2.406 0.000 7.447" Properties=species:S:1:pos:R:3 pbc="T T T"
Al 0.032 1.055 3.554
Al 2.459 3.165 3.893
Cd 0.057 3.165 1.067
Cd 2.434 1.055 6.380
Sb 0.008 3.165 5.410
Sb 2.483 1.055 2.037
```

## Properties
Energy above the most stable polymorph in this dataset = 10.6 meV/atom
Raw formation energy = 0.076 eV/atom
ρ = 5.64 Mg/m³
Symmetry = No. 11